Y4ZnGeC2 | OQMD | GGA-PBE | relaxed; uncorrected energy = -6.630 eV per atom
1.0
3.630 0.000 0.000
-1.815 3.144 0.000
0.000 0.000 14.725
Y Zn Ge C
4 1 1 2
Cartesian
0.000 0.000 2.299
0.000 0.000 12.426
0.000 2.096 5.005
0.000 2.096 9.720
0.000 0.000 7.362
0.000 2.096 0.000
1.815 1.048 3.697
1.815 1.048 11.028

=====

Dy2Ho2CI2Cl3 | OQMD | GGA-PBE | relaxed; distance to the lowest polymorph of the same formula = 25.6 meV per atom
1.0
9.195 -1.909 0.000
9.195 1.909 0.000
-1.417 0.000 7.764
Dy Ho C I Cl
2 2 1 2 3
Cartesian
2.336 0.000 0.436
14.637 0.000 7.329
8.865 0.000 1.605
8.108 0.000 6.160
0.000 0.000 0.000
5.231 0.000 5.011
11.742 0.000 2.753
-0.708 0.000 3.882
6.050 0.000 1.348
10.923 0.000 6.416